[1]
Ta2TiPt | PBE | optimized geometry

abc: 3.2784 3.2784 6.3377
angles: 90.00 90.00 90.00
Space group P4/mmm (No. 123)
Unique sites:
Ta (0.0000, 0.0000, 0.2477) (multiplicity 2)
Ti (0.5000, 0.5000, 0.0000) (multiplicity 1)
Pt (0.5000, 0.5000, 0.5000) (multiplicity 1)

Summary:
- calculated formation energy (eV per atom) = -0.293
- distance to the lowest polymorph of the same formula (meV per atom) = 129

---

[2]
Ta2TiPt2 | PBE | optimized geometry

abc: 7.9210 7.9210 2.8242
angles: 90.00 90.00 90.00
Space group P4/mbm (No. 127)
Unique sites:
Ta (0.1673, 0.3327, 0.0000) (multiplicity 4)
Ti (0.0000, 0.0000, 0.0000) (multiplicity 2)
Pt (0.1295, 0.6295, 0.5000) (multiplicity 4)

Summary:
- calculated formation energy (eV per atom) = -0.309
- distance to the lowest polymorph of the same formula (meV per atom) = 106

---

The records above yield total energy values of -9.703 -9.045 eV per atom, respectively.
The records above yield magnetization values of 0.00 0.00 μB/atom, respectively.
The records above yield calculated volume values of 17.03 17.72 Å³ per atom, respectively.